# CaAc5La2Pm | Alexandria | PBE-GGA | relaxed
# * space-group type: I4/mcm (140)
# * uncorrected energy: -3.8874 eV/atom
# * DFT formation energy: 0.240 eV per atom
data_CaAc5La2Pm
_cell_length_a 8.692
_cell_length_b 8.692
_cell_length_c 11.832
_cell_angle_alpha 111.55
_cell_angle_beta 111.55
_cell_angle_gamma 90.00
_symmetry_space_group_name_H-M 'P 1'
_symmetry_Int_Tables_number 1
loop_
_symmetry_equiv_pos_as_xyz
'x,y,z'
loop_
_atom_site_label
_atom_site_type_symbol
_atom_site_fract_x
_atom_site_fract_y
_atom_site_fract_z
_atom_site_occupancy
Ac1 Ac 0.000 0.000 0.000 1
Ac2 Ac 0.369 0.869 0.277 1
Ac3 Ac 0.592 0.631 0.723 1
Ac4 Ac 0.092 0.592 0.723 1
Ac5 Ac 0.131 0.092 0.723 1
Ac6 Ac 0.908 0.408 0.277 1
Ac7 Ac 0.500 0.500 0.000 1
Ac8 Ac 0.408 0.369 0.277 1
Ac9 Ac 0.869 0.908 0.277 1
Ac10 Ac 0.631 0.131 0.723 1
Ca1 Ca 0.750 0.250 0.500 1
Ca2 Ca 0.250 0.750 0.500 1
La1 La 0.381 0.881 0.000 1
La2 La 0.119 0.381 0.000 1
La3 La 0.619 0.119 0.000 1
La4 La 0.881 0.619 0.000 1
Pm1 Pm 0.750 0.750 0.500 1
Pm2 Pm 0.250 0.250 0.500 1